# 1
Entry from Alexandria via LeMat-Bulk: a relaxed structure of LiNpPa2N4 (PBE-GGA).

VASP energy = -76.893 eV per cell
Formation energy without anion corrections = -9.7 eV/f.u.
Theoretical density = 10.8 Mg/m³

```
LiNpPa2N4
1.0
-3.3716 0.8035 -0.6949
-1.7291 -2.9505 4.9776
1.0471 5.5504 1.3379
Li Np Pa N
1 1 2 4
Direct
0.0000 0.0000 0.0000
0.5000 0.5000 0.0000
0.5000 0.0000 0.5000
0.0000 0.5000 0.5000
0.5000 0.2673 0.2806
0.5000 0.7327 0.7194
0.0000 0.2415 0.7376
0.0000 0.7585 0.2624
```

# 2
Entry from Alexandria via LeMat-Bulk: a relaxed structure of LiPmNp2N4 (PBE-GGA).

VASP energy = -149.672 eV per cell
Formation energy without anion corrections = -9.0 eV/f.u.
Theoretical density = 10.4 Mg/m³

```
LiPmNp2N4
1.0
-2.9290 0.5101 -1.8278
3.4412 -3.5506 -3.1734
-4.6228 -8.8851 4.9284
Li Pm Np N
2 2 4 8
Direct
0.8383 0.6765 0.7500
0.1617 0.3235 0.2500
0.1059 0.2118 0.7500
0.8941 0.7882 0.2500
0.3707 0.7413 0.5577
0.6293 0.2587 0.0577
0.6293 0.2587 0.4423
0.3707 0.7413 0.9423
0.2656 0.5311 0.1105
0.7344 0.4689 0.6105
0.7344 0.4689 0.8895
0.2656 0.5311 0.3895
0.0000 0.0000 0.5000
0.0000 0.0000 0.0000
0.4430 0.8861 0.7500
0.5570 0.1139 0.2500
```

# 3
Entry from Alexandria via LeMat-Bulk: a relaxed structure of LiPmNpN3 (PBE-GGA).

VASP energy = -101.536 eV per cell
Formation energy without anion corrections = -6.2 eV/f.u.
Theoretical density = 8.6 Mg/m³

```
LiPmNpN3
1.0
3.4693 0.0000 0.0000
0.0000 7.0943 0.5475
0.0000 -2.1724 6.5946
Li Pm Np N
2 2 2 6
Direct
0.2500 0.0738 0.5831
0.7500 0.9262 0.4169
0.7500 0.8169 0.7803
0.2500 0.1831 0.2197
0.2500 0.6746 0.1752
0.7500 0.3254 0.8248
0.2500 0.7913 0.4726
0.7500 0.8827 0.1367
0.7500 0.4227 0.1326
0.7500 0.2087 0.5274
0.2500 0.5773 0.8674
0.2500 0.1173 0.8633
```

# 4
Entry from Alexandria via LeMat-Bulk: a relaxed structure of Li2Pm2NpN4 (PBE-GGA).

VASP energy = -67.699 eV per cell
Formation energy without anion corrections = -8.1 eV/f.u.
Theoretical density = 8.4 Mg/m³

```
Li2Pm2NpN4
1.0
-2.3729 -2.1386 1.1231
4.5771 -0.0471 4.4766
-3.6553 4.6039 1.0438
Li Pm Np N
2 2 1 4
Direct
0.3144 0.6288 0.9954
0.6856 0.3712 0.0046
0.8601 0.7202 0.4324
0.1399 0.2798 0.5676
0.0000 0.0000 0.0000
0.7939 0.5879 0.7811
0.2061 0.4121 0.2189
0.4714 0.9429 0.2356
0.5286 0.0571 0.7644
```

# 5
Entry from Alexandria via LeMat-Bulk: a relaxed structure of LiPmNp4N8 (PBE-GGA).

VASP energy = -138.833 eV per cell
Formation energy without anion corrections = -13.8 eV/f.u.
Theoretical density = 9.5 Mg/m³

```
LiPmNp4N8
1.0
-1.9353 0.0112 6.6240
-3.6485 -5.2793 2.5377
2.5176 -4.1654 4.3374
Li Pm Np N
1 1 4 8
Direct
0.0038 0.0038 0.9886
0.3876 0.3876 0.8372
0.6149 0.6149 0.1552
0.0007 0.4975 0.5011
0.4975 0.0007 0.5011
0.0007 0.0007 0.5011
0.2411 0.8101 0.7078
0.8101 0.2411 0.7078
0.2411 0.2411 0.7078
0.2356 0.2356 0.2932
0.7474 0.2127 0.2925
0.2127 0.7474 0.2925
0.7474 0.7474 0.2925
0.7594 0.7594 0.7217
```

# 6
Entry from Alexandria via LeMat-Bulk: a relaxed structure of LiPm2Np3N6 (PBE-GGA).

VASP energy = -113.998 eV per cell
Formation energy without anion corrections = -13.8 eV/f.u.
Theoretical density = 10.1 Mg/m³

```
LiPm2Np3N6
1.0
3.5105 0.0000 0.0000
0.0000 7.0015 0.2531
-1.7552 -2.0187 7.2474
Li Pm Np N
1 2 3 6
Direct
0.5000 0.0000 0.0000
0.8362 0.6744 0.6724
0.1638 0.3256 0.3276
0.5000 0.5000 0.0000
0.8369 0.1641 0.6739
0.1631 0.8359 0.3261
0.3245 0.9332 0.6490
0.6610 0.5959 0.3221
0.6755 0.0668 0.3510
0.9916 0.2834 0.9833
0.0084 0.7166 0.0167
0.3390 0.4041 0.6779
```

# 7
Entry from Alexandria via LeMat-Bulk: a relaxed structure of LiPr2NpN4 (PBE-GGA).

VASP energy = -66.460 eV per cell
Formation energy without anion corrections = -8.7 eV/f.u.
Theoretical density = 7.8 Mg/m³

```
LiPr2NpN4
1.0
4.8233 0.2631 0.0000
-0.2623 4.8234 0.0000
-2.2805 -2.5433 5.3045
Li Pr Np N
1 2 1 4
Direct
0.4368 0.4368 0.0000
0.1873 0.6873 0.5000
0.6873 0.1873 0.5000
0.9374 0.9374 0.0000
0.9373 0.4367 0.0000
0.4367 0.9373 0.0000
0.1318 0.1318 0.3889
0.7428 0.7428 0.6111
```

# 8
Entry from Alexandria via LeMat-Bulk: a relaxed structure of Li2Pr2NpN4 (PBE-GGA).

VASP energy = -67.388 eV per cell
Formation energy without anion corrections = -7.8 eV/f.u.
Theoretical density = 8.1 Mg/m³

```
Li2Pr2NpN4
1.0
-0.8149 -3.3212 0.0680
2.9503 0.9210 -5.6797
4.1941 -0.9429 4.2117
Li Pr Np N
2 2 1 4
Direct
0.3154 0.6309 0.9948
0.6846 0.3691 0.0052
0.8603 0.7207 0.4305
0.1397 0.2793 0.5695
0.0000 0.0000 0.0000
0.7971 0.5942 0.7885
0.2029 0.4058 0.2115
0.4717 0.9434 0.2311
0.5283 0.0566 0.7689
```

# 9
Entry from Alexandria via LeMat-Bulk: a relaxed structure of LiPrNp2N4 (PBE-GGA).

VASP energy = -149.599 eV per cell
Formation energy without anion corrections = -8.9 eV/f.u.
Theoretical density = 10.1 Mg/m³

```
LiPrNp2N4
1.0
3.5120 0.0000 0.0000
-1.7560 5.6429 0.0000
0.0000 0.0000 11.1927
Li Pr Np N
2 2 4 8
Direct
0.8372 0.6745 0.7500
0.1628 0.3255 0.2500
0.1052 0.2105 0.7500
0.8948 0.7895 0.2500
0.3704 0.7409 0.5574
0.6296 0.2591 0.0574
0.6296 0.2591 0.4426
0.3704 0.7409 0.9426
0.2638 0.5275 0.1086
0.7362 0.4725 0.6086
0.7362 0.4725 0.8914
0.2638 0.5275 0.3914
0.0000 0.0000 0.5000
0.0000 0.0000 0.0000
0.4389 0.8779 0.7500
0.5611 0.1221 0.2500
```

# 10
Entry from Alexandria via LeMat-Bulk: a relaxed structure of Li4PuNp3N8 (PBE-GGA).

VASP energy = -142.059 eV per cell
Formation energy without anion corrections = -14.6 eV/f.u.
Theoretical density = 8.8 Mg/m³

```
Li4PuNp3N8
1.0
6.9058 0.0000 0.0000
0.0000 6.3741 -0.3633
-3.4529 -3.4631 4.8755
Li Pu Np N
4 1 3 8
Direct
0.5000 0.0000 0.0000
0.5000 0.0000 0.5000
0.0000 0.0000 0.0000
0.0000 0.0000 0.5000
0.0000 0.5000 0.0000
0.5000 0.5000 0.0000
0.5000 0.5000 0.5000
0.0000 0.5000 0.5000
0.2404 0.7047 0.9642
0.2404 0.7047 0.4809
0.2629 0.2888 0.5258
0.7238 0.7047 0.9642
0.2762 0.2953 0.0358
0.7371 0.7112 0.4742
0.7596 0.2953 0.5191
0.7596 0.2953 0.0358
```

# 11
Entry from Alexandria via LeMat-Bulk: a relaxed structure of LiPuNp2N4 (PBE-GGA).

VASP energy = -83.564 eV per cell
Formation energy without anion corrections = -8.1 eV/f.u.
Theoretical density = 11.3 Mg/m³

```
LiPuNp2N4
1.0
-3.4757 -0.0559 0.2759
-0.4115 -1.9311 -5.5753
0.3575 -4.6454 3.5637
Li Pu Np N
1 1 2 4
Direct
0.5000 0.5000 0.0000
0.0000 0.0000 0.0000
0.5000 0.0000 0.5000
0.0000 0.5000 0.5000
0.5000 0.2520 0.2676
0.5000 0.7480 0.7324
0.0000 0.2220 0.7080
0.0000 0.7780 0.2920
```

# 12
Entry from Alexandria via LeMat-Bulk: a relaxed structure of LiPu2NpN4 (PBE-GGA).

VASP energy = -85.092 eV per cell
Formation energy without anion corrections = -8.3 eV/f.u.
Theoretical density = 11.5 Mg/m³

```
LiPu2NpN4
1.0
-0.0142 -2.2865 2.6261
-1.5274 -4.2371 -3.6975
5.8702 0.2041 0.2095
Li Pu Np N
1 2 1 4
Direct
0.0000 0.0000 0.0000
0.5000 0.0000 0.5000
0.0000 0.5000 0.5000
0.5000 0.5000 0.0000
0.5000 0.2871 0.2704
0.5000 0.7129 0.7296
0.0000 0.2621 0.7563
0.0000 0.7379 0.2437
```

Q: Number 2 is which compound?
A: LiPmNp2N4

Q: formation energy without anion corrections of number 1 (LiNpPa2N4)?
A: -9.7 eV/f.u.

Q: The highest theoretical density belongs to which entry?
A: LiPu2NpN4

Q: Among the records above, which one has the highest formation energy without anion corrections?
A: LiPmNpN3